# 1
Compound: Ho6GaTe2Se3
Source: Alexandria via LeMat-Bulk
Functional: GGA-PBE
Structure: relaxed

```
Ho6GaTe2Se3
1.0
3.657 -6.292 0.000
3.657 6.292 0.000
-2.425 0.000 6.753
Ho Ga Te Se
6 1 2 3
Direct
0.085 0.393 0.757
0.219 0.219 0.238
0.393 0.085 0.757
0.607 0.915 0.243
0.781 0.781 0.762
0.915 0.607 0.243
0.000 0.000 0.500
0.335 0.665 0.500
0.665 0.335 0.500
0.176 0.824 0.000
0.500 0.500 0.000
0.824 0.176 0.000
```

Summary:
E in eV/atom: -5.3536
Symmetry: C2/m, No. 12
Calculated volume in Å³/cell: 311

***

# 2
Compound: Ho6Ga2TeSe3
Source: Alexandria via LeMat-Bulk
Functional: GGA-PBE
Structure: relaxed

```
Ho6Ga2TeSe3
1.0
9.098 -2.009 0.000
9.098 2.009 0.000
-2.069 0.000 8.284
Ho Ga Te Se
6 2 1 3
Direct
0.008 0.008 0.268
0.328 0.328 0.904
0.333 0.333 0.413
0.667 0.667 0.587
0.672 0.672 0.096
0.992 0.992 0.732
0.169 0.169 0.339
0.831 0.831 0.661
0.500 0.500 0.000
0.162 0.162 0.837
0.500 0.500 0.500
0.838 0.838 0.163
```

Summary:
E in eV/atom: -5.2066
Symmetry: C2/m, No. 12
Calculated volume in Å³/cell: 303

***

# 3
Compound: Ho4GaTe2Se
Source: Alexandria via LeMat-Bulk
Functional: GGA-PBE
Structure: relaxed

```
Ho4GaTe2Se
1.0
7.302 0.000 0.000
0.000 4.182 0.000
-2.410 0.000 7.053
Ho Ga Te Se
4 1 2 1
Direct
0.234 0.000 0.223
0.250 0.500 0.778
0.750 0.500 0.222
0.766 0.000 0.777
0.000 0.500 0.000
0.000 0.000 0.500
0.500 0.500 0.500
0.500 0.000 0.000
```

Summary:
E in eV/atom: -5.1564
Symmetry: P2/m, No. 10
Calculated volume in Å³/cell: 215

***

# 4
Compound: Ho3Ga3Si
Source: Alexandria via LeMat-Bulk
Functional: GGA-PBE
Structure: relaxed

```
Ho3Ga3Si
1.0
-2.026 2.102 9.013
2.026 -2.102 9.013
2.026 2.102 -9.013
Ho Ga Si
3 3 1
Direct
0.000 0.000 0.000
0.180 0.680 0.500
0.368 0.368 0.000
0.537 0.537 0.000
0.750 0.250 0.500
0.831 0.831 0.000
0.617 0.117 0.500
```

Summary:
E in eV/atom: -4.6982
Symmetry: Imm2, No. 44
Calculated volume in Å³/cell: 154

***

# 5
Compound: Ho3Ga3Si2
Source: Alexandria via LeMat-Bulk
Functional: GGA-PBE
Structure: relaxed

```
Ho3Ga3Si2
1.0
2.014 -5.413 0.000
2.014 5.413 0.000
0.000 0.000 15.184
Ho Ga Si
6 6 4
Direct
0.077 0.923 0.750
0.361 0.639 0.593
0.361 0.639 0.907
0.639 0.361 0.093
0.639 0.361 0.407
0.923 0.077 0.250
0.077 0.923 0.556
0.077 0.923 0.944
0.190 0.810 0.250
0.810 0.190 0.750
0.923 0.077 0.056
0.923 0.077 0.444
0.343 0.657 0.122
0.343 0.657 0.378
0.657 0.343 0.622
0.657 0.343 0.878
```

Summary:
E in eV/atom: -4.8417
Symmetry: Cmcm, No. 63
Calculated volume in Å³/cell: 331

***

# 6
Compound: Ho5GaSi2
Source: Alexandria via LeMat-Bulk
Functional: GGA-PBE
Structure: relaxed

```
Ho5GaSi2
1.0
-3.761 3.761 6.879
3.761 -3.761 6.879
3.761 3.761 -6.879
Ho Ga Si
10 2 4
Direct
0.000 0.000 0.000
0.029 0.529 0.844
0.185 0.029 0.500
0.315 0.815 0.844
0.471 0.315 0.500
0.500 0.500 0.000
0.529 0.685 0.500
0.685 0.185 0.156
0.815 0.971 0.500
0.971 0.471 0.156
0.250 0.250 0.000
0.750 0.750 0.000
0.124 0.376 0.500
0.376 0.876 0.253
0.624 0.124 0.747
0.876 0.624 0.500
```

Summary:
Energy relative to the lowest polymorph listed for this composition in eV/f.u.: 0.00
E in eV/atom: -5.2161
Symmetry: I4/mcm, No. 140
Calculated volume in Å³/cell: 389

***

Number 1: formation energy without anion corrections -1418 meV per atom. Number 2: formation energy without anion corrections -1280 meV per atom. Number 3: formation energy without anion corrections -1268 meV per atom. Number 4: formation energy without anion corrections -664 meV per atom. Number 5: formation energy without anion corrections -634 meV per atom. Number 6: formation energy without anion corrections -621 meV per atom.